1.
{
  "formula": "La3Nd8Y3",
  "functional": "PBE-GGA",
  "state": "relaxed",
  "magnetic_moment_mub_per_cell": 0.00,
  "n_ef_per_ev_fu": 18.40,
  "formation_enthalpy_0k_mev_per_atom": 106,
  "crystal_system": "orthorhombic",
  "lattice": [[-2.8817, 5.4957, 7.7974], [2.8817, -5.4957, 7.7974], [2.8817, 5.4957, -7.7974]],
  "species": ["La", "La", "La", "Nd", "Nd", "Nd", "Nd", "Nd", "Nd", "Nd", "Nd", "Y", "Y", "Y"],
  "fractional_positions": [[0.0000, 0.0000, 0.0000], [0.3077, 0.0000, 0.3077], [0.6923, 0.0000, 0.6923], [0.0593, 0.3961, 0.6632], [0.0668, 0.2245, 0.8422], [0.2671, 0.6039, 0.6632], [0.3823, 0.2245, 0.1578], [0.6177, 0.7755, 0.8422], [0.7329, 0.3961, 0.3368], [0.9332, 0.7755, 0.1578], [0.9407, 0.6039, 0.3368], [0.3145, 0.8145, 0.5000], [0.5000, 0.5000, 0.0000], [0.6855, 0.1855, 0.5000]]
}

---

2.
{
  "formula": "Sm6Co2CBr3",
  "functional": "PBE-GGA",
  "state": "relaxed",
  "magnetic_moment_mub_per_cell": 0.00,
  "n_ef_per_ev_fu": 10.69,
  "crystal_system": "monoclinic",
  "e_form_raw_ev_per_atom": -0.746,
  "lattice": [[3.4048, -5.8896, 0.0000], [3.4048, 5.8896, 0.0000], [-2.2665, 0.0000, 7.5501]],
  "species": ["Sm", "Sm", "Sm", "Sm", "Sm", "Sm", "Co", "Co", "C", "Br", "Br", "Br"],
  "fractional_positions": [[0.0604, 0.3786, 0.1849], [0.2581, 0.2581, 0.8152], [0.3786, 0.0604, 0.1849], [0.6214, 0.9396, 0.8151], [0.7419, 0.7419, 0.1848], [0.9396, 0.6214, 0.8151], [0.3328, 0.6672, 0.0000], [0.6672, 0.3328, 0.0000], [0.0000, 0.0000, 0.0000], [0.1645, 0.8355, 0.5000], [0.5000, 0.5000, 0.5000], [0.8355, 0.1645, 0.5000]]
}

---

3.
{
  "formula": "Ho3TmTh2",
  "functional": "PBE-GGA",
  "state": "relaxed",
  "magnetic_moment_mub_per_cell": 0.00,
  "de_polymorph_mev_per_atom": 0.0,
  "n_ef_per_ev_fu": 7.52,
  "formation_enthalpy_0k_mev_per_atom": 26,
  "crystal_system": "monoclinic",
  "lattice": [[9.9735, 0.0000, 0.0000], [0.0000, 3.5560, 0.0000], [-0.0164, 0.0000, 10.5886]],
  "species": ["Ho", "Ho", "Ho", "Ho", "Ho", "Ho", "Tm", "Tm", "Th", "Th", "Th", "Th"],
  "fractional_positions": [[0.1236, 0.2500, 0.2508], [0.1320, 0.2500, 0.9178], [0.3696, 0.7500, 0.4176], [0.6304, 0.2500, 0.5824], [0.8680, 0.7500, 0.0822], [0.8764, 0.7500, 0.7492], [0.3759, 0.7500, 0.7506], [0.6241, 0.2500, 0.2494], [0.1234, 0.2500, 0.5832], [0.3784, 0.7500, 0.0833], [0.6216, 0.2500, 0.9167], [0.8766, 0.7500, 0.4168]]
}

---

4.
{
  "formula": "Th4SiCSe2",
  "functional": "PBE-GGA",
  "state": "relaxed",
  "magnetic_moment_mub_per_cell": 0.00,
  "n_ef_per_ev_fu": 3.08,
  "crystal_system": "monoclinic",
  "e_form_raw_ev_per_atom": -1.080,
  "lattice": [[7.1107, 0.0000, 0.0000], [0.0000, 4.0539, 0.0000], [-2.3305, 0.0000, 6.9746]],
  "species": ["Th", "Th", "Th", "Th", "Si", "C", "Se", "Se"],
  "fractional_positions": [[0.2170, 0.0000, 0.2083], [0.2353, 0.5000, 0.7816], [0.7647, 0.5000, 0.2184], [0.7830, 0.0000, 0.7917], [0.5000, 0.0000, 0.0000], [0.0000, 0.5000, 0.0000], [0.0000, 0.0000, 0.5000], [0.5000, 0.5000, 0.5000]]
}

---

5.
{
  "formula": "HfFeBi2Ru",
  "functional": "PBE-GGA",
  "state": "relaxed",
  "magnetic_moment_mub_per_cell": 3.78,
  "n_ef_per_ev_fu": 6.03,
  "formation_enthalpy_0k_mev_per_atom": 1494,
  "crystal_system": "tetragonal",
  "lattice": [[5.5406, 0.0000, 0.0000], [0.0000, 5.5406, 0.0000], [0.0000, 0.0000, 4.5245]],
  "species": ["Hf", "Fe", "Bi", "Bi", "Ru"],
  "fractional_positions": [[0.0000, 0.0000, 0.0000], [0.0000, 0.0000, 0.5000], [0.0000, 0.5000, 0.0000], [0.5000, 0.0000, 0.0000], [0.5000, 0.5000, 0.5000]]
}

---

6.
{
  "formula": "La3HgBr",
  "functional": "PBE-GGA",
  "state": "relaxed",
  "magnetic_moment_mub_per_cell": 0.00,
  "de_polymorph_mev_per_atom": 0.0,
  "n_ef_per_ev_fu": 6.56,
  "crystal_system": "orthorhombic",
  "e_form_raw_ev_per_atom": -0.672,
  "lattice": [[9.6703, 0.0000, 0.0000], [0.0000, 4.0819, 0.0000], [0.0000, 0.0000, 16.5237]],
  "species": ["La", "La", "La", "La", "La", "La", "La", "La", "La", "La", "La", "La", "Hg", "Hg", "Hg", "Hg", "Br", "Br", "Br", "Br"],
  "fractional_positions": [[0.0307, 0.2500, 0.1043], [0.1444, 0.2500, 0.5468], [0.1775, 0.7500, 0.2795], [0.3225, 0.2500, 0.7795], [0.3556, 0.7500, 0.0468], [0.4693, 0.7500, 0.6043], [0.5307, 0.2500, 0.3957], [0.6444, 0.2500, 0.9532], [0.6775, 0.7500, 0.2205], [0.8225, 0.2500, 0.7205], [0.8556, 0.7500, 0.4532], [0.9693, 0.7500, 0.8957], [0.0913, 0.7500, 0.6986], [0.4087, 0.2500, 0.1986], [0.5913, 0.7500, 0.8014], [0.9087, 0.2500, 0.3014], [0.1939, 0.2500, 0.9442], [0.3061, 0.7500, 0.4442], [0.6939, 0.2500, 0.5558], [0.8061, 0.7500, 0.0558]]
}

---

7.
{
  "formula": "SnHgTeSe",
  "functional": "PBE-GGA",
  "state": "relaxed",
  "magnetic_moment_mub_per_cell": 0.00,
  "n_ef_per_ev_fu": 0.35,
  "crystal_system": "monoclinic",
  "e_form_raw_ev_per_atom": -0.165,
  "lattice": [[7.5333, 0.0000, 0.0000], [0.0000, 4.3538, 0.0000], [-2.5706, 0.0000, 8.1756]],
  "species": ["Sn", "Sn", "Hg", "Hg", "Te", "Te", "Se", "Se"],
  "fractional_positions": [[0.0000, 0.0000, 0.0000], [0.5000, 0.5000, 0.0000], [0.3640, 0.5000, 0.5616], [0.8640, 0.0000, 0.5616], [0.2370, 0.5000, 0.2048], [0.7370, 0.0000, 0.2048], [0.0731, 0.5000, 0.6886], [0.5731, 0.0000, 0.6886]]
}

---

8.
{
  "formula": "Ba2CdBr",
  "functional": "PBE-GGA",
  "state": "relaxed",
  "magnetic_moment_mub_per_cell": 0.00,
  "de_polymorph_mev_per_atom": 177.4,
  "n_ef_per_ev_fu": 4.34,
  "crystal_system": "tetragonal",
  "e_form_raw_ev_per_atom": -0.725,
  "lattice": [[4.8513, 0.0000, 0.0000], [0.0000, 4.8513, 0.0000], [0.0000, 0.0000, 14.5860]],
  "species": ["Ba", "Ba", "Ba", "Ba", "Cd", "Cd", "Br", "Br"],
  "fractional_positions": [[0.0000, 0.0000, 0.0000], [0.0000, 0.5000, 0.2500], [0.5000, 0.0000, 0.7500], [0.5000, 0.5000, 0.5000], [0.0000, 0.0000, 0.5000], [0.5000, 0.5000, 0.0000], [0.0000, 0.5000, 0.7500], [0.5000, 0.0000, 0.2500]]
}